1.
The following is a DFT calculation (PBE-GGA) of a relaxed structure of DyHfSi2.

a b c (Å): 3.7709 7.4800 5.4347
angles (deg): 90.00 90.00 90.00
Closest atoms and distances in Å follow each position.
Positions (direct):
Si 0.5000 0.2262 0.1360  2 Si 2.47
Si 0.0000 0.7738 0.6360  2 Si 2.47
Si 0.0000 0.3045 0.8623  2 Si 2.47, 2 Hf 2.72
Si 0.5000 0.6955 0.3623  2 Si 2.47, 2 Hf 2.72
Hf 0.5000 0.5659 0.8802  7 Si 2.72-2.98
Hf 0.0000 0.4341 0.3802  7 Si 2.72-2.98
Dy 0.5000 0.0737 0.6216  7 Si 2.87-3.16
Dy 0.0000 0.9263 0.1216  7 Si 2.87-3.16

Offset from the most stable computed form   0 meV/atom
Total magnetization   0.0 μB per formula unit
Crystal system   orthorhombic

=====

2.
The following is a DFT calculation (PBE-GGA) of a relaxed structure of SmDyHf.

a b c (Å): 5.2049 5.2049 5.2049
angles (deg): 60.00 60.00 60.00
Closest atoms and distances in Å follow each position.
Positions (direct):
Dy 0.2500 0.2500 0.2500  4 Hf 3.19
Hf 0.0000 0.0000 0.0000  4 Sm 3.19, 4 Dy 3.19
Sm 0.7500 0.7500 0.7500  4 Hf 3.19

Offset from the most stable computed form   0 meV/atom
Total magnetization   1.1 μB per formula unit
DFT formation energy   0.851 eV per atom
Crystal system   cubic